No. 1
Here is a relaxed CeGe2O6 crystal from Alexandria. Energies are from GGA-PBE.

Structure (POSCAR):
```
CeGe2O6
1.0
-2.002 -4.375 -3.182
-2.850 -4.500 4.981
-6.890 1.962 -1.364
O Ce Ge
12 2 4
Direct
0.218 0.106 0.595
0.641 0.936 0.821
0.359 0.064 0.179
0.282 0.405 0.894
0.960 0.367 0.362
0.540 0.638 0.633
0.782 0.894 0.405
0.718 0.595 0.106
0.460 0.362 0.367
0.859 0.179 0.064
0.040 0.633 0.638
0.141 0.821 0.936
0.750 0.878 0.122
0.250 0.122 0.878
0.754 0.780 0.627
0.254 0.627 0.780
0.246 0.220 0.373
0.746 0.373 0.220
```

Computed properties:
Symmetry ... C2/c (15)
DFT total energy ... -129.09 eV for the cell shown

No. 2
Here is a relaxed CeGeO2 crystal from Alexandria. Energies are from GGA-PBE.

Structure (POSCAR):
```
CeGeO2
1.0
3.579 0.000 0.000
1.790 3.100 0.000
1.790 1.033 6.598
Ge O Ce
1 2 1
Direct
0.500 0.500 0.500
0.106 0.106 0.683
0.894 0.894 0.317
0.000 0.000 0.000
```

Computed properties:
Symmetry ... R-3m (166)
Relative energy among the computed polymorphs ... 537 meV per atom
DFT total energy ... -25.81 eV for the cell shown

| no. | uncorrected formation energy (eV/atom) |
| --- | --- |
| 1 | -2.1807 |
| 2 | -1.3356 |